(1)
A geometry-optimized NiAg2Ru structure. Source: Alexandria, functional GGA-PBE.

The structure in POSCAR format:
```
NiAg2Ru
1.0
-1.296 0.642 2.364
-2.893 -3.558 -0.619
3.005 -2.865 2.426
Ag Ru Ni
2 1 1
Cartesian
0.000 0.000 0.000
-2.094 -1.458 0.872
0.056 -3.212 0.903
0.855 -1.111 2.395
```

Computed properties:
As for the crystal system: orthorhombic. The calculation puts the calculated total energy at -18.75 eV per formula unit.

=====

(2)
A geometry-optimized PmNd2Co3 structure. Source: Alexandria, functional GGA-PBE.

The structure in POSCAR format:
```
PmNd2Co3
1.0
-4.458 0.359 -1.133
-1.304 -7.547 2.741
-0.770 6.349 5.043
Nd Co Pm
4 6 2
Cartesian
-2.457 -4.089 3.678
-4.075 3.249 2.973
-2.282 0.547 4.456
-4.251 -1.387 2.195
-2.701 1.034 1.561
-3.831 -1.873 5.090
-2.881 -3.594 0.804
-1.602 -2.053 5.656
-0.472 0.854 2.128
-0.652 -3.774 1.371
-1.331 -1.162 0.172
-4.432 -6.026 1.437
```

Computed properties:
As for the crystal system: orthorhombic. The calculation puts the calculated total energy at -36.02 eV per formula unit.

=====

(3)
A geometry-optimized Y2Co3Ge4 structure. Source: Alexandria, functional GGA-PBE.

The structure in POSCAR format:
```
Y2Co3Ge4
1.0
5.525 0.000 0.000
0.000 7.208 0.000
-2.763 0.000 7.249
Ge Co Y
8 6 4
Cartesian
0.000 7.030 2.692
4.144 1.802 0.862
2.763 0.177 4.557
-1.381 5.406 6.386
1.381 1.802 0.862
1.381 5.406 6.386
2.763 3.781 2.692
0.000 3.427 4.557
2.763 3.604 0.000
-1.381 5.406 3.978
0.000 0.000 0.000
4.144 1.802 3.270
1.381 5.406 3.978
1.381 1.802 3.270
0.000 0.690 5.635
2.763 2.914 5.635
0.000 4.294 1.614
2.763 6.518 1.614
```

Computed properties:
As for the crystal system: orthorhombic. The calculation puts the calculated total energy at -57.72 eV per formula unit.

=====

(4)
A geometry-optimized Pu2Ge3Pd structure. Source: Alexandria, functional GGA-PBE.

The structure in POSCAR format:
```
Pu2Ge3Pd
1.0
3.829 0.000 0.000
0.000 4.418 0.000
0.000 0.000 7.431
Pu Ge Pd
2 3 1
Cartesian
0.000 0.000 3.749
0.000 2.209 7.412
1.914 0.000 1.262
1.914 2.209 4.940
1.914 0.000 6.199
1.914 2.209 2.447
```

Computed properties:
As for the crystal system: orthorhombic. The calculation puts the calculated total energy at -50.60 eV per formula unit.

=====

(5)
A geometry-optimized RhI3Br structure. Source: Alexandria, functional GGA-PBE.

The structure in POSCAR format:
```
RhI3Br
1.0
-5.065 -1.737 0.770
1.448 -2.111 4.766
-1.230 4.668 2.442
Br I Rh
1 3 1
Cartesian
-2.424 0.410 3.988
0.724 -1.056 2.383
-0.615 2.334 1.221
-2.533 -0.869 0.385
0.000 0.000 0.000
```

Computed properties:
As for the crystal system: cubic. For the energy relative to the elements, uncorrected, the calculation gives 236 meV/atom. The calculation puts the calculated total energy at -12.49 eV per formula unit.

=====

(6)
A geometry-optimized Er2RhI structure. Source: Alexandria, functional GGA-PBE.

The structure in POSCAR format:
```
Er2RhI
1.0
4.039 0.000 0.000
2.020 3.498 0.000
2.020 1.166 7.883
Er Rh I
2 1 1
Cartesian
6.059 3.498 6.459
2.020 1.166 1.424
0.000 0.000 0.000
4.039 2.332 3.941
```

Computed properties:
As for the crystal system: trigonal. For the energy relative to the elements, uncorrected, the calculation gives -940 meV/atom. The calculation puts the calculated total energy at -21.79 eV per formula unit.

=====

(7)
A geometry-optimized PmGa2NiPd2 structure. Source: Alexandria, functional GGA-PBE.

The structure in POSCAR format:
```
PmGa2NiPd2
1.0
-1.981 -1.437 3.121
0.607 -3.692 -1.315
7.260 2.218 3.109
Ga Pd Pm Ni
2 2 1 1
Cartesian
3.927 -2.808 3.720
1.959 -0.103 1.196
3.590 -2.020 1.349
2.296 -0.892 3.567
-0.687 -2.565 0.903
0.000 0.000 0.000
```

Computed properties:
As for the crystal system: tetragonal. The calculation puts the calculated total energy at -29.66 eV per formula unit.

=====

(8)
A geometry-optimized Sr3RePt structure. Source: Alexandria, functional GGA-PBE.

The structure in POSCAR format:
```
Sr3RePt
1.0
5.755 0.000 0.000
0.000 5.755 0.000
0.000 0.000 5.755
Sr Re Pt
3 1 1
Cartesian
0.000 2.877 0.000
0.000 0.000 2.877
2.877 0.000 0.000
2.877 2.877 2.877
0.000 0.000 0.000
```

Computed properties:
As for the crystal system: cubic. The calculation puts the calculated total energy at -20.22 eV per formula unit.

=====

(9)
A geometry-optimized Y2BiTe2 structure. Source: Alexandria, functional GGA-PBE.

The structure in POSCAR format:
```
Y2BiTe2
1.0
8.879 0.000 0.000
0.000 8.879 0.000
0.000 0.000 3.729
Y Bi Te
4 2 4
Cartesian
3.023 1.417 1.864
1.417 5.857 1.864
7.462 3.023 1.864
5.857 7.462 1.864
4.440 4.440 0.000
0.000 0.000 0.000
3.238 7.677 0.000
7.677 5.642 0.000
5.642 1.202 0.000
1.202 3.238 0.000
```

Computed properties:
As for the crystal system: tetragonal. For the energy relative to the elements, uncorrected, the calculation gives -856 meV/atom. The calculation puts the calculated total energy at -27.37 eV per formula unit.

=====

(10)
A geometry-optimized Pm2TmTh2 structure. Source: Alexandria, functional GGA-PBE.

The structure in POSCAR format:
```
Pm2TmTh2
1.0
9.102 0.000 0.000
0.000 9.102 0.000
0.000 0.000 4.065
Th Pm Tm
4 4 2
Cartesian
7.880 3.329 0.000
1.222 5.773 0.000
5.773 7.880 0.000
3.329 1.222 0.000
3.063 7.614 2.033
7.614 6.039 2.033
6.039 1.488 2.033
1.488 3.063 2.033
4.551 4.551 0.000
0.000 0.000 0.000
```

Computed properties:
As for the crystal system: tetragonal. The calculation puts the calculated total energy at -27.61 eV per formula unit.

=====

(11)
A geometry-optimized InBiAuO5 structure. Source: Alexandria, functional GGA-PBE.

The structure in POSCAR format:
```
InBiAuO5
1.0
-3.670 -1.774 4.722
5.444 -2.805 1.187
0.839 7.781 -0.104
In Au Bi O
2 2 2 10
Cartesian
0.000 0.000 0.000
0.420 3.890 -0.052
3.771 3.291 2.001
-1.158 -0.089 3.803
2.895 -0.547 2.231
-0.282 3.749 3.573
4.135 1.429 2.712
3.921 5.096 1.092
-2.245 3.971 4.335
1.935 2.685 1.034
4.858 -0.769 1.469
3.213 4.168 3.897
-1.522 1.773 3.092
0.678 0.517 4.770
-0.600 -0.966 1.907
-1.308 -1.894 4.712
```

Computed properties:
As for the crystal system: monoclinic. For the energy relative to the elements, uncorrected, the calculation gives -660 meV/atom. The calculation puts the calculated total energy at -39.97 eV per formula unit.

=====

(12)
A geometry-optimized ZrCuReBi structure. Source: Alexandria, functional GGA-PBE.

The structure in POSCAR format:
```
ZrCuReBi
1.0
3.539 0.000 0.000
0.000 4.748 0.000
0.000 0.000 8.956
Re Bi Zr Cu
2 2 2 2
Cartesian
0.000 0.000 0.877
1.769 2.374 5.355
1.769 2.374 0.740
0.000 0.000 5.217
0.000 2.374 3.233
1.769 0.000 7.711
0.000 2.374 7.450
1.769 0.000 2.972
```

Computed properties:
As for the crystal system: orthorhombic. The calculation puts the calculated total energy at -27.62 eV per formula unit.

=====

Number 1: volume 61.66 Å³ per cell. Number 2: volume 264.81 Å³ per cell. Number 3: volume 288.66 Å³ per cell. Number 4: volume 125.69 Å³ per cell. Number 5: volume 158.32 Å³ per cell. Number 6: volume 111.38 Å³ per cell. Number 7: volume 121.26 Å³ per cell. Number 8: volume 190.59 Å³ per cell. Number 9: volume 293.99 Å³ per cell. Number 10: volume 336.81 Å³ per cell. Number 11: volume 241.15 Å³ per cell. Number 12: volume 150.47 Å³ per cell.